# 1
Below is a geometry-optimized Li2CrSnBr6 structure, with properties calculated at the GGA-PBE level.

Calculated values
E_form (uncorrected) in eV per atom: -0.98
Calculated volume in Å³ per cell: 813.9

abc: 6.9716 6.9716 19.3356
angles: 90.00 90.00 120.00
Space group R3 (No. 146, hexagonal axes)
Unique sites:
Li: 0.0000 0.0000 0.0000
Li: 0.0000 0.0000 0.4927
Cr: 0.0000 0.0000 0.6821
Sn: 0.0000 0.0000 0.1877
Br: 0.0032 0.3420 0.4215
Br: 0.0223 0.6411 0.2636

=====

# 2
Below is a geometry-optimized Ta2FeCu structure, with properties calculated at the GGA-PBE level.

Calculated values
Energy relative to the elements in eV/atom: 0.0682
Calculated volume in Å³ per cell: 238.2

abc: 6.199 6.199 6.199
angles: 90.00 90.00 90.00
Space group Fm-3m (No. 225)
Unique sites:
Ta: 0.250 0.250 0.250
Fe: 0.000 0.000 0.000
Cu: 0.000 0.000 0.500

=====

# 3
Below is a geometry-optimized Li2AgPb structure, with properties calculated at the GGA-PBE level.

Calculated values
Energy relative to the elements in eV/atom: -0.1094
Calculated volume in Å³ per cell: 246.2

abc: 3.2702 3.2702 26.5852
angles: 90.00 90.00 120.00
Space group R3m (No. 160, hexagonal axes)
Unique sites:
Li: 0.0000 0.0000 0.0000
Li: 0.0000 0.0000 0.1788
Ag: 0.0000 0.0000 0.5888
Pb: 0.0000 0.0000 0.4230

=====

# 4
Below is a geometry-optimized BaZr2Be2 structure, with properties calculated at the GGA-PBE level.

Calculated values
Energy relative to the elements in eV/atom: 0.5260
Calculated volume in Å³ per cell: 212.3

abc: 8.317 8.317 3.069
angles: 90.00 90.00 90.00
Space group P4/mbm (No. 127)
Unique sites:
Ba: 0.000 0.000 0.000
Zr: 0.138 0.362 0.500
Be: 0.152 0.652 0.000

=====

# 5
Below is a geometry-optimized Nd3SnPb3 structure, with properties calculated at the GGA-PBE level.

Calculated values
Energy relative to the elements in eV/atom: -0.3908
Calculated volume in Å³ per cell: 422.7

abc: 9.1846 9.1846 5.7863
angles: 90.00 90.00 120.00
Space group P6_3/m (No. 176)
Unique sites:
Nd: 0.0912 0.6427 0.2500
Sn: 0.3333 0.6667 0.7500
Pb: 0.0535 0.8061 0.7500

=====

# 6
Below is a geometry-optimized BSbPt2Rh structure, with properties calculated at the GGA-PBE level.

Calculated values
E_form (uncorrected) in eV per atom: -0.09
Calculated volume in Å³ per cell: 78.8

abc: 4.300 4.300 4.259
angles: 90.00 90.00 90.00
Space group P4/mmm (No. 123)
Unique sites:
B: 0.000 0.000 0.000
Sb: 0.500 0.500 0.500
Pt: 0.000 0.500 0.000
Rh: 0.000 0.000 0.500

=====

# 7
Below is a geometry-optimized Na4Ho3TmSe8 structure, with properties calculated at the GGA-PBE level.

Calculated values
E_form (uncorrected) in eV per atom: -1.70
Calculated volume in Å³ per cell: 1235.8

abc: 8.2404 8.2404 21.0146
angles: 90.00 90.00 120.00
Space group R-3m (No. 166, hexagonal axes)
Unique sites:
Na: 0.0000 0.0000 0.0000
Na: 0.0000 0.5000 0.0000
Ho: 0.0000 0.5000 0.5000
Tm: 0.0000 0.0000 0.5000
Se: 0.0000 0.0000 0.2429
Se: 0.0019 0.5010 0.2426

=====

# 8
Below is a geometry-optimized Re3Tc4 structure, with properties calculated at the GGA-PBE level.

Calculated values
Energy relative to the elements in eV/atom: 0.0633
Calculated volume in Å³ per cell: 207.0

abc: 2.748 3.902 19.304
angles: 90.00 90.00 90.00
Space group Immm (No. 71)
Unique sites:
Re: 0.000 0.000 0.000
Re: 0.000 0.000 0.143
Tc: 0.000 0.000 0.286
Tc: 0.000 0.000 0.428

=====

# 9
Below is a geometry-optimized BaCaBS2 structure, with properties calculated at the GGA-PBE level.

Calculated values
E_form (uncorrected) in eV per atom: 1.13
Calculated volume in Å³ per cell: 225.1

abc: 5.627 5.627 7.111
angles: 90.00 90.00 90.00
Space group P4/mmm (No. 123)
Unique sites:
Ba: 0.000 0.000 0.000
Ca: 0.000 0.000 0.500
B: 0.500 0.500 0.500
S: 0.000 0.500 0.000

=====

# 10
Below is a geometry-optimized La4AgSn8 structure, with properties calculated at the GGA-PBE level.

Calculated values
Energy relative to the elements in eV/atom: -0.6114
Calculated volume in Å³ per cell: 375.8

abc: 4.500 4.612 18.105
angles: 90.00 90.00 90.00
Space group Pmm2 (No. 25)
Unique sites:
La: 0.000 0.000 0.000
La: 0.000 0.500 0.480
La: 0.500 0.000 0.790
La: 0.500 0.500 0.283
Ag: 0.000 0.500 0.713
Sn: 0.000 0.000 0.322
Sn: 0.000 0.000 0.620
Sn: 0.000 0.500 0.138
Sn: 0.000 0.500 0.861
Sn: 0.500 0.000 0.145
Sn: 0.500 0.000 0.431
Sn: 0.500 0.500 0.619
Sn: 0.500 0.500 0.966

=====

# 11
Below is a geometry-optimized VRe3S structure, with properties calculated at the GGA-PBE level.

Calculated values
E_form (uncorrected) in eV per atom: 2.12
Calculated volume in Å³ per cell: 91.9

abc: 4.513 4.513 4.513
angles: 90.00 90.00 90.00
Space group Pm-3m (No. 221)
Unique sites:
V: 0.000 0.000 0.000
Re: 0.000 0.000 0.500
S: 0.500 0.500 0.500

=====

# 12
Below is a geometry-optimized Nd2SnAu structure, with properties calculated at the GGA-PBE level.

Calculated values
Energy relative to the elements in eV/atom: -0.5560
Calculated volume in Å³ per cell: 368.4

abc: 4.1865 4.1865 24.2736
angles: 90.00 90.00 120.00
Space group R-3m (No. 166, hexagonal axes)
Unique sites:
Nd: 0.0000 0.0000 0.2444
Sn: 0.0000 0.0000 0.0000
Au: 0.0000 0.0000 0.5000